VASP calculation (PBE) on an optimized crystal structure of Nd2CdSi.

Lattice parameters (Å, degrees): 4.3675 4.3675 22.3759 90.00 90.00 120.00
Space group R-3m (No. 166, hexagonal axes)
Unique sites:
Nd: 0.0000 0.0000 0.2350 (multiplicity 6)
Cd: 0.0000 0.0000 0.0000 (multiplicity 3)
Si: 0.0000 0.0000 0.5000 (multiplicity 3)

Properties
Formation energy (no corrections) = -135 kJ/mol of formula units
DOS(E_F) = 4.84 states/eV/f.u.